Record 1
A geometry-optimized Tb6Dy3Tm2Tl structure. Source: Alexandria, functional GGA-PBE.

Properties
**Space group**: C2/m (12)

abc: 6.1070 6.1070 11.5942
angles: 95.09 95.09 120.08
Fractional positions:
1 Tb 0.9189 0.5890 0.7536
2 Tb 0.7515 0.7515 0.2483
3 Tb 0.0811 0.4110 0.2464
4 Tb 0.5890 0.9189 0.7536
5 Tb 0.2485 0.2485 0.7517
6 Tb 0.4110 0.0811 0.2464
7 Dy 0.1672 0.8328 0.5000
8 Dy 0.8328 0.1672 0.5000
9 Dy 0.5000 0.5000 0.5000
10 Tm 0.3342 0.6658 0.0000
11 Tm 0.6658 0.3342 0.0000
12 Tl 0.0000 0.0000 0.0000

***

Record 2
A geometry-optimized TbDy2TmTl2 structure. Source: Alexandria, functional GGA-PBE.

Properties
**Space group**: Pmc2_1 (26)

abc: 5.0760 6.8373 9.9276
angles: 90.00 90.00 90.00
Fractional positions:
1 Tb 0.0000 0.9604 0.4562
2 Tb 0.0000 0.4604 0.5438
3 Dy 0.5000 0.0534 0.0446
4 Dy 0.0000 0.3375 0.1862
5 Dy 0.5000 0.5534 0.9554
6 Dy 0.0000 0.8375 0.8138
7 Tm 0.5000 0.1765 0.6893
8 Tm 0.5000 0.6765 0.3107
9 Tl 0.0000 0.2985 0.8646
10 Tl 0.5000 0.2193 0.3694
11 Tl 0.0000 0.7985 0.1354
12 Tl 0.5000 0.7193 0.6306

***

Record 3
A geometry-optimized TbDyTm2Tl2 structure. Source: Alexandria, functional GGA-PBE.

Properties
**Space group**: Pmc2_1 (26)

abc: 5.0628 6.7755 9.9287
angles: 90.00 90.00 90.00
Fractional positions:
1 Tb 0.0000 0.9618 0.4590
2 Tb 0.0000 0.4618 0.5410
3 Dy 0.5000 0.1813 0.6896
4 Dy 0.5000 0.6813 0.3104
5 Tm 0.5000 0.0528 0.0411
6 Tm 0.0000 0.3357 0.1856
7 Tm 0.5000 0.5528 0.9589
8 Tm 0.0000 0.8357 0.8144
9 Tl 0.0000 0.2985 0.8692
10 Tl 0.5000 0.2155 0.3630
11 Tl 0.0000 0.7985 0.1308
12 Tl 0.5000 0.7155 0.6370

***

Record 4
A geometry-optimized Tb6Dy2Tm3Tl structure. Source: Alexandria, functional GGA-PBE.

Properties
**Space group**: C2/m (12)

abc: 6.0823 6.0823 11.6167
angles: 95.03 95.03 120.06
Fractional positions:
1 Tb 0.9171 0.5875 0.7502
2 Tb 0.7535 0.7535 0.2510
3 Tb 0.0829 0.4125 0.2498
4 Tb 0.5875 0.9171 0.7502
5 Tb 0.2465 0.2465 0.7490
6 Tb 0.4125 0.0829 0.2498
7 Dy 0.3341 0.6659 0.0000
8 Dy 0.6659 0.3341 0.0000
9 Tm 0.1669 0.8331 0.5000
10 Tm 0.8331 0.1669 0.5000
11 Tm 0.5000 0.5000 0.5000
12 Tl 0.0000 0.0000 0.0000

***

Record 5
A geometry-optimized Tb2DyYTl2 structure. Source: Alexandria, functional GGA-PBE.

Properties
**Space group**: Pmc2_1 (26)

abc: 5.1072 6.8476 9.9880
angles: 90.00 90.00 90.00
Fractional positions:
1 Tb 0.5000 0.0546 0.0432
2 Tb 0.0000 0.3350 0.1871
3 Tb 0.5000 0.5546 0.9568
4 Tb 0.0000 0.8350 0.8129
5 Dy 0.5000 0.1789 0.6872
6 Dy 0.5000 0.6789 0.3128
7 Y 0.0000 0.9607 0.4563
8 Y 0.0000 0.4607 0.5437
9 Tl 0.0000 0.2994 0.8655
10 Tl 0.5000 0.2171 0.3678
11 Tl 0.0000 0.7994 0.1345
12 Tl 0.5000 0.7171 0.6322

***

Record 6
A geometry-optimized TbDy2YTl2 structure. Source: Alexandria, functional GGA-PBE.

Properties
**Space group**: Pmc2_1 (26)

abc: 5.1076 6.8024 10.0078
angles: 90.00 90.00 90.00
Fractional positions:
1 Tb 0.0000 0.9630 0.4591
2 Tb 0.0000 0.4630 0.5409
3 Dy 0.5000 0.0519 0.0416
4 Dy 0.0000 0.3323 0.1859
5 Dy 0.5000 0.5519 0.9584
6 Dy 0.0000 0.8323 0.8141
7 Y 0.5000 0.1829 0.6875
8 Y 0.5000 0.6829 0.3125
9 Tl 0.0000 0.2985 0.8658
10 Tl 0.5000 0.2170 0.3654
11 Tl 0.0000 0.7985 0.1342
12 Tl 0.5000 0.7170 0.6345

***

What are the raw total energy values for these records? In order: -53.01, -49.29, -48.96, -52.95, -53.47, -53.42 eV/cell.
What are the E_form values for these records? In order: -0.112, -1.604, -1.570, -0.185, -1.677, -1.677 eV/f.u..
What are the N(E_F) values for these records? In order: 15.2, 12.1, 11.7, 14.4, 13.0, 12.5 states/eV per cell.